Entry 1:
The following is a PBE calculation of La6AgAu2C after structural relaxation, from the Alexandria database.

```
La6AgAu2C
1.0
6.911 0.000 0.000
0.000 7.980 0.000
-6.671 0.000 10.775
La Ag Au C
12 2 4 2
direct
0.083 0.049 0.225
0.083 0.451 0.725
0.202 0.710 0.068
0.202 0.790 0.568
0.372 0.156 0.062
0.372 0.344 0.562
0.628 0.656 0.438
0.628 0.844 0.938
0.798 0.210 0.432
0.798 0.290 0.932
0.917 0.549 0.275
0.917 0.951 0.775
0.500 0.000 0.500
0.500 0.500 0.000
0.306 0.106 0.742
0.306 0.394 0.242
0.694 0.606 0.758
0.694 0.894 0.258
0.000 0.000 0.000
0.000 0.500 0.500
```

Calculated values
* total moment: 0.00 μB/f.u.
* DOS(E_F): 1.08 states/eV/atom
* energy relative to the elements: -374 meV/atom

=====

Entry 2:
The following is a PBE calculation of La2AgAuC after structural relaxation, from the Alexandria database.

```
La2AgAuC
1.0
5.259 0.000 0.000
0.000 5.259 0.000
0.000 0.000 4.259
La Ag Au C
2 1 1 1
direct
0.000 0.500 0.000
0.500 0.000 0.000
0.000 0.000 0.500
0.500 0.500 0.500
0.000 0.000 0.000
```

Calculated values
* total moment: 0.00 μB/f.u.
* DOS(E_F): 0.83 states/eV/atom
* energy relative to the elements: -203 meV/atom

=====

Entry 3:
The following is a PBE calculation of La6Ag2AuC after structural relaxation, from the Alexandria database.

```
La6Ag2AuC
1.0
6.909 0.000 0.000
0.000 8.117 0.000
-6.353 0.000 10.696
La Ag Au C
12 4 2 2
direct
0.094 0.041 0.229
0.094 0.459 0.729
0.196 0.714 0.060
0.196 0.786 0.560
0.366 0.161 0.054
0.366 0.339 0.554
0.634 0.661 0.446
0.634 0.839 0.946
0.804 0.214 0.440
0.804 0.286 0.940
0.906 0.541 0.271
0.906 0.959 0.771
0.314 0.104 0.743
0.314 0.396 0.243
0.686 0.604 0.757
0.686 0.896 0.257
0.500 0.000 0.500
0.500 0.500 0.000
0.000 0.000 0.000
0.000 0.500 0.500
```

Calculated values
* total moment: 0.00 μB/f.u.
* DOS(E_F): 1.19 states/eV/atom
* energy relative to the elements: -261 meV/atom

=====

Entry 4:
The following is a PBE calculation of AgOsAuC2 after structural relaxation, from the Alexandria database.

```
AgOsAuC2
1.0
3.925 0.000 0.000
0.000 3.925 0.000
0.000 0.000 5.432
Ag Os Au C
1 1 1 2
direct
0.000 0.000 0.000
0.500 0.500 0.500
0.500 0.500 0.000
0.000 0.500 0.500
0.500 0.000 0.500
```

Calculated values
* total moment: 0.00 μB/f.u.
* DOS(E_F): 0.27 states/eV/atom
* energy relative to the elements: 1253 meV/atom

=====

Entry 5:
The following is a PBE calculation of AgRuAu2C after structural relaxation, from the Alexandria database.

```
AgRuAu2C
1.0
5.045 0.000 0.000
0.000 5.045 0.000
0.000 0.000 4.987
Ag Ru Au C
1 1 2 1
direct
0.000 0.000 0.000
0.000 0.000 0.500
0.000 0.500 0.000
0.500 0.000 0.000
0.500 0.500 0.500
```

Calculated values
* total moment: 3.78 μB/f.u.
* DOS(E_F): 0.96 states/eV/atom
* energy relative to the elements: 2721 meV/atom

=====

Entry 6:
The following is a PBE calculation of AgAuCS2 after structural relaxation, from the Alexandria database.

```
AgAuCS2
1.0
3.954 -1.784 0.000
3.954 1.784 0.000
-1.020 0.000 8.726
Ag Au C S
1 1 1 2
direct
0.000 0.000 0.000
0.203 0.203 0.727
0.530 0.530 0.150
0.549 0.549 0.329
0.905 0.905 0.710
```

Calculated values
* total moment: 0.00 μB/f.u.
* ΔE to the lowest computed polymorph: 295 meV/atom
* DOS(E_F): 0.48 states/eV/atom
* ΔE_f (raw): 0.58 eV per atom

=====

What is the formula in the sixth record? AgAuCS2

=====

DOS(E_F) of number 2 (La2AgAuC)? 0.83 states/eV/atom

=====

Please write out number 3 again, unchanged.
The following is a PBE calculation of La6Ag2AuC after structural relaxation, from the Alexandria database.

```
La6Ag2AuC
1.0
6.909 0.000 0.000
0.000 8.117 0.000
-6.353 0.000 10.696
La Ag Au C
12 4 2 2
direct
0.094 0.041 0.229
0.094 0.459 0.729
0.196 0.714 0.060
0.196 0.786 0.560
0.366 0.161 0.054
0.366 0.339 0.554
0.634 0.661 0.446
0.634 0.839 0.946
0.804 0.214 0.440
0.804 0.286 0.940
0.906 0.541 0.271
0.906 0.959 0.771
0.314 0.104 0.743
0.314 0.396 0.243
0.686 0.604 0.757
0.686 0.896 0.257
0.500 0.000 0.500
0.500 0.500 0.000
0.000 0.000 0.000
0.000 0.500 0.500
```

Calculated values
* total moment: 0.00 μB/f.u.
* DOS(E_F): 1.19 states/eV/atom
* energy relative to the elements: -261 meV/atom